Density functional theory data (PBE-GGA) for GePb2C2 after structural relaxation. Values from VASP.

Structure (Quantum ESPRESSO input):
```
&SYSTEM
  ibrav = 0, nat = 10, ntyp = 3
/
ATOMIC_SPECIES
Ge 72.64 Ge.upf
Pb 207.20 Pb.upf
C 12.01 C.upf
ATOMIC_POSITIONS crystal
Ge 0.000 0.000 0.000
Ge 0.500 0.500 0.000
Pb 0.155 0.345 0.500
Pb 0.345 0.845 0.500
Pb 0.655 0.155 0.500
Pb 0.845 0.655 0.500
C 0.178 0.678 0.000
C 0.322 0.178 0.000
C 0.678 0.822 0.000
C 0.822 0.322 0.000
CELL_PARAMETERS angstrom
7.092 0.000 0.000
0.000 7.092 0.000
0.000 0.000 3.577
```

Energy relative to the lowest polymorph listed for this composition, meV per atom: 752.5
Formation energy, eV per formula unit: 8.561
Symmetry: No. 127

Density functional theory data (PBE-GGA) for ZnFe2PC after structural relaxation. Values from VASP.

Structure (Quantum ESPRESSO input):
```
&SYSTEM
  ibrav = 0, nat = 5, ntyp = 4
/
ATOMIC_SPECIES
Zn 65.41 Zn.upf
Fe 55.84 Fe.upf
P 30.97 P.upf
C 12.01 C.upf
ATOMIC_POSITIONS crystal
Zn 0.000 0.000 0.000
Fe 0.000 0.500 0.500
Fe 0.500 0.000 0.500
P 0.500 0.500 0.000
C 0.500 0.500 0.500
CELL_PARAMETERS angstrom
3.779 0.000 0.000
0.000 3.779 0.000
0.000 0.000 4.230
```

Formation energy, eV per formula unit: 2.558
Symmetry: No. 123

Density functional theory data (PBE-GGA) for NaNbTl3 after structural relaxation. Values from VASP.

Structure (Quantum ESPRESSO input):
```
&SYSTEM
  ibrav = 0, nat = 5, ntyp = 3
/
ATOMIC_SPECIES
Na 22.99 Na.upf
Nb 92.91 Nb.upf
Tl 204.38 Tl.upf
ATOMIC_POSITIONS crystal
Na 0.000 0.000 0.000
Nb 0.500 0.500 0.500
Tl 0.000 0.500 0.500
Tl 0.500 0.000 0.500
Tl 0.500 0.500 0.000
CELL_PARAMETERS angstrom
5.530 0.000 0.000
0.000 5.530 0.000
0.000 0.000 5.530
```

Energy relative to the lowest polymorph listed for this composition, meV per atom: 0.0
Formation energy, eV per formula unit: 1.941
Symmetry: No. 221

Density functional theory data (PBE-GGA) for La2InRe after structural relaxation. Values from VASP.

Structure (Quantum ESPRESSO input):
```
&SYSTEM
  ibrav = 0, nat = 4, ntyp = 3
/
ATOMIC_SPECIES
La 138.91 La.upf
In 114.82 In.upf
Re 186.21 Re.upf
ATOMIC_POSITIONS crystal
La 0.000 0.000 0.000
La 0.283 0.500 0.572
In 0.709 0.000 0.422
Re 0.576 0.500 0.156
CELL_PARAMETERS angstrom
4.073 0.000 0.000
0.000 4.733 0.000
-2.005 0.000 5.817
```

Formation energy, eV per formula unit: 0.533
Symmetry: No. 6

Density functional theory data (PBE-GGA) for Pr2DyEr5Sc after structural relaxation. Values from VASP.

Structure (Quantum ESPRESSO input):
```
&SYSTEM
  ibrav = 0, nat = 18, ntyp = 4
/
ATOMIC_SPECIES
Pr 140.91 Pr.upf
Dy 162.50 Dy.upf
Er 167.26 Er.upf
Sc 44.96 Sc.upf
ATOMIC_POSITIONS crystal
Pr 0.120 0.620 0.741
Pr 0.380 0.120 0.500
Pr 0.620 0.880 0.500
Pr 0.880 0.380 0.259
Dy 0.250 0.250 0.000
Dy 0.750 0.750 0.000
Er 0.000 0.000 0.000
Er 0.067 0.146 0.500
Er 0.146 0.646 0.078
Er 0.354 0.433 0.500
Er 0.433 0.933 0.078
Er 0.500 0.500 0.000
Er 0.567 0.067 0.922
Er 0.646 0.567 0.500
Er 0.854 0.354 0.922
Er 0.933 0.854 0.500
Sc 0.250 0.750 0.500
Sc 0.750 0.250 0.500
CELL_PARAMETERS angstrom
-4.247 4.247 7.839
4.247 -4.247 7.839
4.247 4.247 -7.839
```

Formation energy, eV per formula unit: 2.473
Symmetry: No. 140

Density functional theory data (PBE-GGA) for AgAs2 after structural relaxation. Values from VASP.

Structure (Quantum ESPRESSO input):
```
&SYSTEM
  ibrav = 0, nat = 6, ntyp = 2
/
ATOMIC_SPECIES
Ag 107.87 Ag.upf
As 74.92 As.upf
ATOMIC_POSITIONS crystal
Ag 0.000 0.000 0.000
Ag 0.500 0.500 0.000
As 0.169 0.500 0.499
As 0.331 0.000 0.501
As 0.669 0.000 0.499
As 0.831 0.500 0.501
CELL_PARAMETERS angstrom
11.397 0.000 0.000
0.000 3.639 0.000
-0.015 0.000 2.879
```

Formation energy, eV per formula unit: 0.529
Symmetry: No. 12

Density functional theory data (PBE-GGA) for BeAuI2Br after structural relaxation. Values from VASP.

Structure (Quantum ESPRESSO input):
```
&SYSTEM
  ibrav = 0, nat = 5, ntyp = 4
/
ATOMIC_SPECIES
Be 9.01 Be.upf
Au 196.97 Au.upf
I 126.90 I.upf
Br 79.90 Br.upf
ATOMIC_POSITIONS crystal
Be 0.000 0.000 0.000
Au 0.500 0.500 0.000
I 0.000 0.500 0.500
I 0.500 0.000 0.500
Br 0.500 0.500 0.500
CELL_PARAMETERS angstrom
6.070 0.000 0.000
0.000 6.070 0.000
0.000 0.000 5.117
```

VASP energy, eV/atom: -1.317
Symmetry: No. 123

Density functional theory data (PBE-GGA) for Sr3Li2Y2Tl4 after structural relaxation. Values from VASP.

Structure (Quantum ESPRESSO input):
```
&SYSTEM
  ibrav = 0, nat = 11, ntyp = 4
/
ATOMIC_SPECIES
Sr 87.62 Sr.upf
Li 6.94 Li.upf
Y 88.91 Y.upf
Tl 204.38 Tl.upf
ATOMIC_POSITIONS crystal
Sr 0.000 0.000 0.000
Sr 0.000 0.000 0.263
Sr 0.000 0.000 0.737
Li 0.333 0.667 0.150
Li 0.667 0.333 0.850
Y 0.333 0.667 0.571
Y 0.667 0.333 0.429
Tl 0.333 0.667 0.363
Tl 0.333 0.667 0.863
Tl 0.667 0.333 0.137
Tl 0.667 0.333 0.637
CELL_PARAMETERS angstrom
5.268 0.000 0.000
-2.634 4.563 0.000
0.000 0.000 14.931
```

Formation energy, eV per formula unit: -2.113
Symmetry: No. 164

Density functional theory data (PBE-GGA) for AgW5 after structural relaxation. Values from VASP.

Structure (Quantum ESPRESSO input):
```
&SYSTEM
  ibrav = 0, nat = 12, ntyp = 2
/
ATOMIC_SPECIES
Ag 107.87 Ag.upf
W 183.84 W.upf
ATOMIC_POSITIONS crystal
Ag 0.000 0.000 0.000
Ag 0.500 0.500 0.000
W 0.056 0.000 0.630
W 0.167 0.500 0.331
W 0.230 0.500 0.960
W 0.326 0.000 0.663
W 0.401 0.000 0.292
W 0.556 0.500 0.630
W 0.667 0.000 0.331
W 0.730 0.000 0.960
W 0.826 0.500 0.663
W 0.901 0.500 0.292
CELL_PARAMETERS angstrom
10.795 0.000 0.000
0.000 2.656 0.000
-1.824 0.000 6.890
```

Energy relative to the lowest polymorph listed for this composition, meV per atom: 0.0
Formation energy, eV per formula unit: 3.067
Symmetry: No. 8

Density functional theory data (PBE-GGA) for Al3Fe2 after structural relaxation. Values from VASP.

Structure (Quantum ESPRESSO input):
```
&SYSTEM
  ibrav = 0, nat = 10, ntyp = 2
/
ATOMIC_SPECIES
Al 26.98 Al.upf
Fe 55.84 Fe.upf
ATOMIC_POSITIONS crystal
Al 0.000 0.000 0.000
Al 0.250 0.250 0.250
Al 0.357 0.649 0.430
Al 0.649 0.357 0.564
Al 0.686 0.820 0.601
Al 0.820 0.686 0.893
Fe 0.102 0.453 0.003
Fe 0.247 0.808 0.148
Fe 0.453 0.102 0.442
Fe 0.808 0.247 0.797
CELL_PARAMETERS angstrom
0.000 6.278 2.350
4.391 0.000 2.350
4.391 6.278 0.000
```

Formation energy, eV per formula unit: -1.061
Symmetry: No. 43

Density functional theory data (PBE-GGA) for Ac6Ga3N after structural relaxation. Values from VASP.

Structure (Quantum ESPRESSO input):
```
&SYSTEM
  ibrav = 0, nat = 20, ntyp = 3
/
ATOMIC_SPECIES
Ac 227.00 Ac.upf
Ga 69.72 Ga.upf
N 14.01 N.upf
ATOMIC_POSITIONS crystal
Ac 0.085 0.915 0.500
Ac 0.127 0.553 0.745
Ac 0.245 0.310 0.221
Ac 0.306 0.694 0.253
Ac 0.310 0.245 0.721
Ac 0.447 0.873 0.745
Ac 0.553 0.127 0.245
Ac 0.690 0.755 0.221
Ac 0.694 0.306 0.753
Ac 0.755 0.690 0.721
Ac 0.873 0.447 0.245
Ac 0.915 0.085 0.000
Ga 0.012 0.770 0.048
Ga 0.230 0.988 0.048
Ga 0.481 0.519 0.952
Ga 0.519 0.481 0.452
Ga 0.770 0.012 0.548
Ga 0.988 0.230 0.548
N 0.245 0.755 0.567
N 0.755 0.245 0.067
CELL_PARAMETERS angstrom
6.153 -7.720 0.000
6.153 7.720 0.000
0.000 0.000 7.062
```

VASP energy, eV/atom: -4.655
Symmetry: No. 36

Density functional theory data (PBE-GGA) for LaIrCl2 after structural relaxation. Values from VASP.

Structure (Quantum ESPRESSO input):
```
&SYSTEM
  ibrav = 0, nat = 12, ntyp = 3
/
ATOMIC_SPECIES
La 138.91 La.upf
Ir 192.22 Ir.upf
Cl 35.45 Cl.upf
ATOMIC_POSITIONS crystal
La 0.000 0.000 0.000
La 0.333 0.667 0.667
La 0.667 0.333 0.333
Ir 0.000 0.000 0.500
Ir 0.333 0.667 0.167
Ir 0.667 0.333 0.833
Cl 0.000 0.000 0.124
Cl 0.000 0.000 0.876
Cl 0.333 0.667 0.542
Cl 0.333 0.667 0.791
Cl 0.667 0.333 0.209
Cl 0.667 0.333 0.458
CELL_PARAMETERS angstrom
4.079 0.000 0.000
-2.039 3.532 0.000
0.000 0.000 22.257
```

Energy relative to the lowest polymorph listed for this composition, meV per atom: 1071.4
Symmetry: No. 166